Record 1
Entry from Alexandria: an optimized crystal structure of Li2TlCdPb (GGA-PBEsol).

## Properties
Volume   30.01 Å³ per atom
Space-group type   No. 123

```
Li2TlCdPb
1.0
5.148 0.000 0.000
0.000 5.148 0.000
0.000 0.000 5.663
Li Tl Cd Pb
2 1 1 1
Direct
0.000 0.500 0.000
0.500 0.000 0.000
0.000 0.000 0.000
0.500 0.500 0.500
0.000 0.000 0.500
```



Record 2
Entry from Alexandria: an optimized crystal structure of Mn2HgW (GGA-PBEsol).

## Properties
Volume   14.41 Å³ per atom
Space-group type   No. 44

```
Mn2HgW
1.0
3.240 0.000 0.000
0.000 4.206 0.000
0.000 0.000 8.460
Mn Hg W
4 2 2
Direct
0.000 0.000 0.000
0.000 0.500 0.255
0.500 0.000 0.755
0.500 0.500 0.500
0.000 0.000 0.493
0.500 0.500 0.993
0.000 0.500 0.722
0.500 0.000 0.222
```



The following DFT total energy values (in eV/cell) correspond, in order, to the records above: -10.36, -63.65.
The following theoretical density values (in g/cm³) correspond, in order, to the records above: 5.95, 14.24.
The following total moment values (in μB per atom) correspond, in order, to the records above: 0.000, 0.836.